Here is crystalline MnF at its relaxed geometry from Alexandria via LeMat-Bulk. Energies are from PBE with a Hubbard U.

Properties
For the total energy, the calculation gives -74.07 eV/cell. As for the crystal system: orthorhombic. As for the space-group type: Amm2 (38). Its theoretical density is 3.7 g/cm³.

Geometry as extended XYZ:
```
12
Lattice="3.040 0.000 0.000 0.000 6.422 0.000 0.000 0.000 10.139" Properties=species:S:1:pos:R:3 pbc="T T T"
Mn 0.000 1.474 8.978
Mn 0.000 4.948 8.978
Mn 0.000 4.685 3.908
Mn 0.000 1.737 3.908
Mn 1.520 0.000 6.889
Mn 1.520 3.211 1.820
F 0.000 5.067 5.971
F 0.000 1.355 5.971
F 0.000 1.856 0.902
F 0.000 4.566 0.902
F 1.520 0.000 3.789
F 1.520 3.211 8.859
```